First-principles (PBE-GGA) data for a relaxed structure of PrGdTcAg, as listed in Alexandria.

Cell lengths 7.2050, 7.2050, 7.2050 Å; angles 90.00, 90.00, 90.00 degrees
Fractional positions:
Pr (0.0000, 0.0000, 0.0000)
Pr (0.0000, 0.5000, 0.5000)
Pr (0.5000, 0.0000, 0.5000)
Pr (0.5000, 0.5000, 0.0000)
Gd (0.0000, 0.0000, 0.5000)
Gd (0.0000, 0.5000, 0.0000)
Gd (0.5000, 0.0000, 0.0000)
Gd (0.5000, 0.5000, 0.5000)
Tc (0.2500, 0.2500, 0.7500)
Tc (0.2500, 0.7500, 0.2500)
Tc (0.7500, 0.2500, 0.2500)
Tc (0.7500, 0.7500, 0.7500)
Ag (0.2500, 0.2500, 0.2500)
Ag (0.2500, 0.7500, 0.7500)
Ag (0.7500, 0.2500, 0.7500)
Ag (0.7500, 0.7500, 0.2500)

Values from the calculation:
- Electronic total energy: -8.0197 eV/atom
- Energy of formation from the pure elements: 0.000 eV/atom
- DOS at the Fermi energy: 4.11 states/eV/f.u.
- M_tot: 6.98 μB per formula unit